Nd6Ho3Th, relaxed, DFT PBE; formation energy = 81 kJ/mol of formula units; DOS(E_F) = 1.4883 states/eV per atom; uncorrected energy = -48.92 eV/f.u.; energy relative to the lowest polymorph listed for this composition = 0 meV per atom
1.0
13.333 0.000 0.000
0.000 3.559 0.000
-2.674 0.000 14.320
Nd Ho Th
12 6 2
direct
0.000 0.250 0.190 Nd
0.000 0.750 0.810 Nd
0.155 0.750 0.380 Nd
0.229 0.250 0.798 Nd
0.280 0.250 0.212 Nd
0.311 0.250 0.580 Nd
0.377 0.750 0.016 Nd
0.623 0.250 0.984 Nd
0.689 0.750 0.420 Nd
0.720 0.750 0.788 Nd
0.771 0.750 0.202 Nd
0.845 0.250 0.620 Nd
0.077 0.750 0.596 Ho
0.123 0.250 0.001 Ho
0.427 0.750 0.400 Ho
0.573 0.250 0.600 Ho
0.877 0.750 0.999 Ho
0.923 0.250 0.404 Ho
0.465 0.750 0.777 Th
0.535 0.250 0.223 Th

=====

V12CoGe6, relaxed, DFT PBE; formation energy = -250 kJ/mol of formula units; DOS(E_F) = 0.8914 states/eV per atom; uncorrected energy = -146.82 eV/f.u.
1.0
5.806 3.352 2.231
-5.806 3.352 2.231
0.000 -6.704 2.231
V Co Ge
12 1 6
direct
0.032 0.295 0.178 V
0.178 0.032 0.295 V
0.242 0.605 0.679 V
0.295 0.178 0.032 V
0.321 0.758 0.395 V
0.395 0.321 0.758 V
0.605 0.679 0.242 V
0.679 0.242 0.605 V
0.705 0.822 0.968 V
0.758 0.395 0.321 V
0.822 0.968 0.705 V
0.968 0.705 0.822 V
0.500 0.500 0.500 Co
0.081 0.860 0.571 Ge
0.140 0.429 0.919 Ge
0.429 0.919 0.140 Ge
0.571 0.081 0.860 Ge
0.860 0.571 0.081 Ge
0.919 0.140 0.429 Ge

=====

Pd8Pb4S, relaxed, DFT PBE; DOS(E_F) = 0.5079 states/eV per atom; uncorrected energy = -63.20 eV/f.u.
1.0
4.050 0.000 0.000
0.000 4.166 0.000
0.000 0.000 14.525
Pd Pb S
8 4 1
direct
0.000 0.000 0.000 Pd
0.000 0.000 0.284 Pd
0.000 0.500 0.151 Pd
0.000 0.500 0.537 Pd
0.500 0.000 0.537 Pd
0.500 0.000 0.846 Pd
0.500 0.500 0.001 Pd
0.500 0.500 0.698 Pd
0.000 0.000 0.681 Pb
0.000 0.500 0.865 Pb
0.500 0.000 0.136 Pb
0.500 0.500 0.340 Pb
0.000 0.000 0.447 S

=====

CsPbO, relaxed, DFT PBE; DOS(E_F) = 0.8873 states/eV per atom; uncorrected energy = -10.79 eV/f.u.
1.0
5.653 0.000 0.000
0.000 5.653 0.000
0.000 0.000 8.763
Cs Pb O
2 2 2
direct
0.000 0.000 0.000 Cs
0.500 0.500 0.500 Cs
0.000 0.000 0.458 Pb
0.500 0.500 0.958 Pb
0.000 0.000 0.689 O
0.500 0.500 0.189 O

=====

NpFeRe, relaxed, DFT PBE; formation energy = 76 kJ/mol of formula units; DOS(E_F) = 1.5483 states/eV per atom; uncorrected energy = -33.06 eV/f.u.
1.0
8.911 0.000 0.000
0.000 4.403 0.000
-3.347 0.000 4.741
Np Fe Re
4 4 4
direct
0.171 0.000 0.195 Np
0.329 0.500 0.805 Np
0.671 0.500 0.195 Np
0.829 0.000 0.805 Np
0.166 0.000 0.681 Fe
0.334 0.500 0.319 Fe
0.666 0.500 0.681 Fe
0.834 0.000 0.319 Fe
0.004 0.500 0.749 Re
0.496 0.000 0.251 Re
0.504 0.000 0.749 Re
0.996 0.500 0.251 Re

=====

Sm4CSe2, relaxed, DFT PBE; DOS(E_F) = 1.1783 states/eV per atom; uncorrected energy = -40.64 eV/f.u.
1.0
4.956 0.000 0.000
0.000 4.956 0.000
0.000 0.000 14.752
Sm C Se
8 2 4
direct
0.000 0.000 0.170 Sm
0.000 0.000 0.830 Sm
0.000 0.500 0.000 Sm
0.000 0.500 0.500 Sm
0.500 0.000 0.000 Sm
0.500 0.000 0.500 Sm
0.500 0.500 0.330 Sm
0.500 0.500 0.670 Sm
0.000 0.000 0.000 C
0.500 0.500 0.500 C
0.000 0.000 0.370 Se
0.000 0.000 0.630 Se
0.500 0.500 0.130 Se
0.500 0.500 0.870 Se

=====

Q: Which of these has the highest uncorrected energy?
A: CsPbO

=====

Q: What is the formula in the third record?
A: Pd8Pb4S

=====

Q: Which of these has the lowest DOS(E_F)?
A: Pd8Pb4S